Here is a geometry-optimized BaGaAs3 structure from Alexandria via LeMat-Bulk. Energies are from PBE.

The structure in POSCAR format:
```
BaGaAs3
1.0
5.096 0.000 0.000
0.000 5.096 0.000
0.000 0.000 5.096
Ba Ga As
1 1 3
Direct
0.000 0.000 0.000 Ba
0.500 0.500 0.500 Ga
0.000 0.500 0.500 As
0.500 0.000 0.500 As
0.500 0.500 0.000 As
```

energy above the most stable polymorph in this dataset = 1.41 eV per formula unit
SG = Pm-3m, No. 221